1.
The following is a DFT calculation (PBEsol) of a relaxed structure of Fe3Co.

## Properties
* N(E_F): 5.472 states/eV per cell
* E_form: 0.0124 eV/atom
* space-group type: P-1 (2)
* DFT total energy: -8.645 eV per atom

a b c (Å): 4.6429 4.6475 4.8341
angles (deg): 99.97 99.88 117.14
Fractional coordinates of all 8 atoms:
Fe 0.2484 0.0000 0.3737
Fe 0.2507 0.5003 0.1254
Fe 0.2505 0.5026 0.6252
Fe 0.7495 0.4974 0.3748
Fe 0.7493 0.4997 0.8746
Fe 0.7516 0.0000 0.6263
Co 0.2490 0.0006 0.8739
Co 0.7510 0.9994 0.1261



2.
The following is a DFT calculation (PBEsol) of a relaxed structure of CaAgOs2.

## Properties
* N(E_F): 3.692 states/eV per cell
* energy above the most stable polymorph in this dataset: 0.000 eV/atom
* E_form: 0.6969 eV/atom
* space-group type: P4/mmm (123)
* DFT total energy: -6.772 eV per atom

a b c (Å): 3.8176 3.8176 4.5635
angles (deg): 90.00 90.00 90.00
Fractional coordinates of all 4 atoms:
Ca 0.0000 0.0000 0.0000
Ag 0.5000 0.5000 0.0000
Os 0.0000 0.5000 0.5000
Os 0.5000 0.0000 0.5000